Record 1
Density functional theory data (PBE) for a relaxed Ba2PaF8 crystal.

## Properties
Formation energy from raw total energies = -3.860 eV per atom
SG = C2/m
Total moment = 0.091 μB per atom

a b c (Å): 4.3032 5.7147 8.1835
angles (deg): 108.22 105.24 90.00
Each line ends with the local moment (μB).
Atoms (fractional coordinates):
Ba 0.8252 0.3200 0.6504  0.00
Ba 0.1748 0.6800 0.3496  0.00
Pa 0.5000 0.0000 0.0000  1.02
F 0.4099 0.6118 0.8198  -0.01
F 0.6317 0.9335 0.2635  -0.01
F 0.7774 0.7287 0.5549  0.00
F 0.9841 0.1960 0.9682  0.00
F 0.2226 0.2713 0.4451  0.00
F 0.3683 0.0665 0.7365  -0.01
F 0.5901 0.3882 0.1802  -0.01
F 0.0159 0.8040 0.0318  0.00



Record 2
Density functional theory data (PBE) for a relaxed RbPdBr2Cl crystal.

## Properties
Formation energy from raw total energies = -0.941 eV per atom
SG = P4/mmm
Total moment = 0.000 μB per atom

a b c (Å): 5.2848 5.2848 5.0000
angles (deg): 90.00 90.00 90.00
Atoms (fractional coordinates):
Br 0.0000 0.5000 0.0000
Br 0.5000 0.0000 0.0000
Rb 0.5000 0.5000 0.5000
Pd 0.0000 0.0000 0.0000
Cl 0.0000 0.0000 0.5000